# 1
This record from Alexandria describes a relaxed Pm8Ho3 crystal. The functional is PBE-GGA.

The crystal system is trigonal. For the energy above the lowest structure with this stoichiometry, the calculation gives 287.4 meV per atom.

Cell lengths 7.271, 7.271, 7.271 Å; angles 84.42, 84.42, 84.42 degrees
Fractional coordinates of all 11 atoms:
1 Pm 0.613 0.613 0.613
2 Pm 0.849 0.116 0.693
3 Pm 0.151 0.884 0.307
4 Ho 0.500 0.500 0.000
5 Pm 0.387 0.387 0.387
6 Ho 0.500 0.000 0.500
7 Pm 0.693 0.849 0.116
8 Pm 0.116 0.693 0.849
9 Pm 0.307 0.151 0.884
10 Pm 0.884 0.307 0.151
11 Ho 0.000 0.500 0.500

***

# 2
This record from Alexandria describes a relaxed Pm5Ho4 crystal. The functional is PBE-GGA.

The crystal system is monoclinic. The total energy is -4.6567 eV per atom.

Cell lengths 5.067, 8.043, 8.043 Å; angles 84.25, 71.59, 71.59 degrees
Fractional coordinates of all 9 atoms:
1 Ho 0.333 0.000 0.333
2 Pm 0.000 0.335 0.665
3 Pm 0.000 0.667 0.333
4 Pm 0.000 0.998 0.002
5 Ho 0.667 0.667 0.000
6 Pm 0.332 0.335 0.002
7 Ho 0.333 0.667 0.667
8 Ho 0.667 0.333 0.333
9 Pm 0.668 0.998 0.665

***

# 3
This record from Alexandria describes a relaxed Pm2Ho7 crystal. The functional is PBE-GGA.

The crystal system is trigonal. For the energy above the lowest structure with this stoichiometry, the calculation gives 0.0 meV per atom.

Cell lengths 6.150, 6.150, 8.691 Å; angles 90.00, 90.00, 120.00 degrees
Fractional coordinates of all 9 atoms:
1 Ho 0.332 0.332 0.336
2 Ho 0.668 0.668 0.664
3 Ho 0.668 0.000 0.336
4 Pm 0.333 0.667 0.000
5 Ho 0.332 0.000 0.664
6 Pm 0.667 0.333 0.000
7 Ho 0.000 0.668 0.336
8 Ho 0.000 0.332 0.664
9 Ho 0.000 0.000 0.000

***

We obtain M_tot values of 0.0 0.0 0.0 μB/cell for the records listed above, in that order.